(1)
Density functional theory data (PBE) for a relaxed K2Cd7Hg12 crystal.

```
data_K2Cd7Hg12
_cell_length_a 5.2484
_cell_length_b 11.3979
_cell_length_c 11.3978
_cell_angle_alpha 120.00
_cell_angle_beta 90.00
_cell_angle_gamma 90.00
_space_group_name_H-M_alt 'P 1'
_space_group_IT_number 1
_space_group_name_Hall 'P 1'
loop_
_atom_site_label
_atom_site_type_symbol
_atom_site_fract_x
_atom_site_fract_y
_atom_site_fract_z
K1 K 0.2099 0.3333 0.6667
K2 K 0.7901 0.6667 0.3333
Cd1 Cd 0.5000 0.0000 0.0000
Cd2 Cd 0.3234 0.8794 0.2633
Cd3 Cd 0.3234 0.3839 0.1206
Cd4 Cd 0.3234 0.7367 0.6161
Cd5 Cd 0.6766 0.1206 0.7367
Cd6 Cd 0.6766 0.6161 0.8794
Cd7 Cd 0.6766 0.2633 0.3839
Hg1 Hg 0.2330 0.5963 0.0493
Hg2 Hg 0.2330 0.4530 0.4037
Hg3 Hg 0.2330 0.9507 0.5470
Hg4 Hg 0.7670 0.4037 0.9507
Hg5 Hg 0.7670 0.5470 0.5963
Hg6 Hg 0.7670 0.0493 0.4530
Hg7 Hg 0.1805 0.1319 0.2556
Hg8 Hg 0.1805 0.1237 0.8681
Hg9 Hg 0.1805 0.7444 0.8763
Hg10 Hg 0.8195 0.8681 0.7444
Hg11 Hg 0.8195 0.8763 0.1319
Hg12 Hg 0.8195 0.2556 0.1237
```


(2)
Density functional theory data (PBE) for a relaxed K12CdHg7 crystal.

## Properties
Offset from the most stable computed form ... 0 meV per atom

```
data_K12CdHg7
_cell_length_a 11.0207
_cell_length_b 11.0207
_cell_length_c 11.0207
_cell_angle_alpha 110.72
_cell_angle_beta 110.72
_cell_angle_gamma 110.72
_space_group_name_H-M_alt 'P 1'
_space_group_IT_number 1
_space_group_name_Hall 'P 1'
loop_
_atom_site_label
_atom_site_type_symbol
_atom_site_fract_x
_atom_site_fract_y
_atom_site_fract_z
K1 K 0.8927 0.3503 0.7385
K2 K 0.6497 0.2615 0.1073
K3 K 0.4083 0.1125 0.3219
K4 K 0.8875 0.6781 0.5917
K5 K 0.2615 0.1073 0.6497
K6 K 0.6781 0.5917 0.8875
K7 K 0.3219 0.4083 0.1125
K8 K 0.7385 0.8927 0.3503
K9 K 0.1125 0.3219 0.4083
K10 K 0.5917 0.8875 0.6781
K11 K 0.3503 0.7385 0.8927
K12 K 0.1073 0.6497 0.2615
Cd1 Cd 0.0000 0.0000 0.0000
Hg1 Hg 0.0845 0.7585 0.9911
Hg2 Hg 0.2415 0.0089 0.9155
Hg3 Hg 0.0089 0.9155 0.2415
Hg4 Hg 0.5000 0.5000 0.5000
Hg5 Hg 0.9911 0.0845 0.7585
Hg6 Hg 0.7585 0.9911 0.0845
Hg7 Hg 0.9155 0.2415 0.0089
```


(3)
Density functional theory data (PBE) for a relaxed K6Cd3Hg crystal.

```
data_K6Cd3Hg
_cell_length_a 7.2237
_cell_length_b 10.7099
_cell_length_c 11.0540
_cell_angle_alpha 90.40
_cell_angle_beta 90.00
_cell_angle_gamma 90.00
_space_group_name_H-M_alt 'P 1'
_space_group_IT_number 1
_space_group_name_Hall 'P 1'
loop_
_atom_site_label
_atom_site_type_symbol
_atom_site_fract_x
_atom_site_fract_y
_atom_site_fract_z
K1 K 0.9281 0.3303 0.0736
K2 K 0.9217 0.3335 0.4270
K3 K 0.7406 0.1643 0.7531
K4 K 0.2594 0.8357 0.2469
K5 K 0.0783 0.6665 0.5730
K6 K 0.0719 0.6697 0.9264
K7 K 0.5719 0.8303 0.5736
K8 K 0.5783 0.8335 0.9270
K9 K 0.7594 0.6643 0.2531
K10 K 0.2406 0.3357 0.7469
K11 K 0.4217 0.1665 0.0730
K12 K 0.4281 0.1697 0.4264
Cd1 Cd 0.3372 0.4778 0.2496
Cd2 Cd 0.5000 0.5000 0.0000
Cd3 Cd 0.6628 0.5222 0.7504
Cd4 Cd 0.1628 0.9778 0.7496
Cd5 Cd 0.0000 0.0000 0.5000
Cd6 Cd 0.8372 0.0222 0.2504
Hg1 Hg 0.5000 0.5000 0.5000
Hg2 Hg 0.0000 0.0000 0.0000
```


(4)
Density functional theory data (PBE) for a relaxed KCdHg11 crystal.

```
data_KCdHg11
_cell_length_a 6.1756
_cell_length_b 8.2946
_cell_length_c 8.4162
_cell_angle_alpha 83.00
_cell_angle_beta 68.48
_cell_angle_gamma 70.61
_space_group_name_H-M_alt 'P 1'
_space_group_IT_number 1
_space_group_name_Hall 'P 1'
loop_
_atom_site_label
_atom_site_type_symbol
_atom_site_fract_x
_atom_site_fract_y
_atom_site_fract_z
K1 K 0.0000 0.0000 0.0000
Cd1 Cd 0.5000 0.5000 0.0000
Hg1 Hg 0.2938 0.2107 0.2089
Hg2 Hg 0.7062 0.7893 0.7911
Hg3 Hg 0.4973 0.7893 0.2089
Hg4 Hg 0.5027 0.2107 0.7911
Hg5 Hg 0.3585 0.6418 0.6468
Hg6 Hg 0.6415 0.3582 0.3532
Hg7 Hg 0.9947 0.3582 0.6468
Hg8 Hg 0.0053 0.6418 0.3532
Hg9 Hg 0.0000 0.5000 0.0000
Hg10 Hg 0.5000 0.0000 0.5000
Hg11 Hg 0.0000 0.0000 0.5000
```


(5)
Density functional theory data (PBE) for a relaxed K12CdHg7 crystal.

## Properties
Offset from the most stable computed form ... 22 meV per atom

```
data_K12CdHg7
_cell_length_a 11.2862
_cell_length_b 10.3073
_cell_length_c 10.3073
_cell_angle_alpha 72.53
_cell_angle_beta 68.59
_cell_angle_gamma 111.41
_space_group_name_H-M_alt 'P 1'
_space_group_IT_number 1
_space_group_name_Hall 'P 1'
loop_
_atom_site_label
_atom_site_type_symbol
_atom_site_fract_x
_atom_site_fract_y
_atom_site_fract_z
K1 K 0.6277 0.3003 0.1696
K2 K 0.2027 0.8304 0.4700
K3 K 0.2406 0.2115 0.1026
K4 K 0.6568 0.8974 0.3141
K5 K 0.6726 0.4700 0.6997
K6 K 0.9709 0.3141 0.7885
K7 K 0.0291 0.6859 0.2115
K8 K 0.3274 0.5300 0.3003
K9 K 0.3432 0.1026 0.6859
K10 K 0.7594 0.7885 0.8974
K11 K 0.7973 0.1696 0.5300
K12 K 0.3723 0.6997 0.8304
Cd1 Cd 0.0000 0.0000 0.0000
Hg1 Hg 0.9891 0.3471 0.1096
Hg2 Hg 0.9013 0.8904 0.4566
Hg3 Hg 0.3579 0.4566 0.6529
Hg4 Hg 0.5000 0.0000 0.0000
Hg5 Hg 0.6421 0.5434 0.3471
Hg6 Hg 0.0987 0.1096 0.5434
Hg7 Hg 0.0109 0.6529 0.8904
```


(6)
Density functional theory data (PBE) for a relaxed KCd4Hg crystal.

## Properties
Offset from the most stable computed form ... 0 meV per atom

```
data_KCd4Hg
_cell_length_a 4.7576
_cell_length_b 7.8003
_cell_length_c 9.2899
_cell_angle_alpha 90.00
_cell_angle_beta 104.84
_cell_angle_gamma 90.00
_space_group_name_H-M_alt 'P 1'
_space_group_IT_number 1
_space_group_name_Hall 'P 1'
loop_
_atom_site_label
_atom_site_type_symbol
_atom_site_fract_x
_atom_site_fract_y
_atom_site_fract_z
K1 K 0.1215 0.2500 0.2430
K2 K 0.8785 0.7500 0.7570
Cd1 Cd 0.5000 0.5000 0.0000
Cd2 Cd 0.5000 0.0000 0.0000
Cd3 Cd 0.6676 0.9405 0.3353
Cd4 Cd 0.3324 0.0595 0.6647
Cd5 Cd 0.3324 0.4405 0.6647
Cd6 Cd 0.6676 0.5595 0.3353
Cd7 Cd 0.0686 0.7500 0.1373
Cd8 Cd 0.9314 0.2500 0.8627
Hg1 Hg 0.2388 0.7500 0.4777
Hg2 Hg 0.7612 0.2500 0.5223
```


(7)
Density functional theory data (PBE) for a relaxed K9Cd4Hg crystal.

```
data_K9Cd4Hg
_cell_length_a 11.3249
_cell_length_b 11.3716
_cell_length_c 11.3716
_cell_angle_alpha 120.00
_cell_angle_beta 90.00
_cell_angle_gamma 90.00
_space_group_name_H-M_alt 'P 1'
_space_group_IT_number 1
_space_group_name_Hall 'P 1'
loop_
_atom_site_label
_atom_site_type_symbol
_atom_site_fract_x
_atom_site_fract_y
_atom_site_fract_z
K1 K 0.0593 0.8121 0.6242
K2 K 0.0593 0.8121 0.1879
K3 K 0.0593 0.3758 0.1879
K4 K 0.9407 0.1879 0.3758
K5 K 0.9407 0.1879 0.8121
K6 K 0.9407 0.6242 0.8121
K7 K 0.5593 0.1879 0.3758
K8 K 0.5593 0.1879 0.8121
K9 K 0.5593 0.6242 0.8121
K10 K 0.4407 0.8121 0.6242
K11 K 0.4407 0.8121 0.1879
K12 K 0.4407 0.3758 0.1879
K13 K 0.2500 0.4608 0.9216
K14 K 0.2500 0.4608 0.5392
K15 K 0.2500 0.0784 0.5392
K16 K 0.7500 0.5392 0.0784
K17 K 0.7500 0.5392 0.4608
K18 K 0.7500 0.9216 0.4608
Cd1 Cd 0.2500 0.0957 0.1915
Cd2 Cd 0.2500 0.0957 0.9043
Cd3 Cd 0.2500 0.8085 0.9043
Cd4 Cd 0.7500 0.9043 0.8085
Cd5 Cd 0.7500 0.9043 0.0957
Cd6 Cd 0.7500 0.1915 0.0957
Cd7 Cd 0.0000 0.0000 0.0000
Cd8 Cd 0.5000 0.0000 0.0000
Hg1 Hg 0.2500 0.6667 0.3333
Hg2 Hg 0.7500 0.3333 0.6667
```


(8)
Density functional theory data (PBE) for a relaxed KCd8Hg6 crystal.

```
data_KCd8Hg6
_cell_length_a 7.6530
_cell_length_b 7.6530
_cell_length_c 7.6530
_cell_angle_alpha 71.26
_cell_angle_beta 71.26
_cell_angle_gamma 71.26
_space_group_name_H-M_alt 'P 1'
_space_group_IT_number 1
_space_group_name_Hall 'P 1'
loop_
_atom_site_label
_atom_site_type_symbol
_atom_site_fract_x
_atom_site_fract_y
_atom_site_fract_z
K1 K 0.0000 0.0000 0.0000
Cd1 Cd 0.1854 0.5301 0.8518
Cd2 Cd 0.1482 0.8146 0.4699
Cd3 Cd 0.4699 0.1482 0.8146
Cd4 Cd 0.7883 0.7883 0.7883
Cd5 Cd 0.2117 0.2117 0.2117
Cd6 Cd 0.5301 0.8518 0.1854
Cd7 Cd 0.8518 0.1854 0.5301
Cd8 Cd 0.8146 0.4699 0.1482
Hg1 Hg 0.1630 0.3274 0.5853
Hg2 Hg 0.4147 0.8370 0.6726
Hg3 Hg 0.6726 0.4147 0.8370
Hg4 Hg 0.3274 0.5853 0.1630
Hg5 Hg 0.5853 0.1630 0.3274
Hg6 Hg 0.8370 0.6726 0.4147
```


(9)
Density functional theory data (PBE) for a relaxed K2Cd2Hg15 crystal.

```
data_K2Cd2Hg15
_cell_length_a 8.5623
_cell_length_b 8.5623
_cell_length_c 8.5623
_cell_angle_alpha 72.86
_cell_angle_beta 72.86
_cell_angle_gamma 72.86
_space_group_name_H-M_alt 'P 1'
_space_group_IT_number 1
_space_group_name_Hall 'P 1'
loop_
_atom_site_label
_atom_site_type_symbol
_atom_site_fract_x
_atom_site_fract_y
_atom_site_fract_z
K1 K 0.3041 0.3041 0.3041
K2 K 0.6959 0.6959 0.6959
Cd1 Cd 0.0921 0.0921 0.0921
Cd2 Cd 0.9079 0.9079 0.9079
Hg1 Hg 0.5000 0.0000 0.0000
Hg2 Hg 0.0000 0.0000 0.5000
Hg3 Hg 0.0000 0.5000 0.0000
Hg4 Hg 0.0000 0.7048 0.2952
Hg5 Hg 0.7048 0.2952 0.0000
Hg6 Hg 0.2952 0.0000 0.7048
Hg7 Hg 0.2952 0.7048 0.0000
Hg8 Hg 0.7048 0.0000 0.2952
Hg9 Hg 0.0000 0.2952 0.7048
Hg10 Hg 0.1662 0.6009 0.6009
Hg11 Hg 0.6009 0.6009 0.1662
Hg12 Hg 0.6009 0.1662 0.6009
Hg13 Hg 0.8338 0.3991 0.3991
Hg14 Hg 0.3991 0.3991 0.8338
Hg15 Hg 0.3991 0.8338 0.3991
```


no.,total DFT energy (no corrections) (eV/cell),DFT formation energy (eV per atom)
1,-13.5,-0.061
2,-19.4,-0.162
3,-20.4,-0.056
4,-6.2,-0.068
5,-19.0,-0.140
6,-10.8,-0.053
7,-29.2,-0.056
8,-10.8,-0.036
9,-10.3,-0.090